Entry 1:
A plane-wave DFT calculation with GGA-PBE was carried out for a geometry-optimized BeAlTe2N structure.

- formation energy from raw total energies (meV per atom) = 324
- calculated density (g/cm³) = 5.21

Cell: 5.6076 5.6076 3.0926 Å, 90.00 90.00 90.00°
With the nearest neighbours (Å) after each atom.
Atoms (fractional coordinates):
Be  0.0000  0.0000  0.0000  2 N 1.55
Te  0.0000  0.5000  0.0000  2 Be 2.80, 2 Te 3.09
Te  0.5000  0.0000  0.0000  2 Be 2.80, 2 Te 3.09
Al  0.5000  0.5000  0.5000  2 Al 3.09, 8 Te 3.20
N  0.0000  0.0000  0.5000  2 Be 1.55

---

Entry 2:
A plane-wave DFT calculation with GGA-PBE was carried out for a geometry-optimized Tl2Hg3Pb7 structure.

- calculated density (g/cm³) = 11.17
- energy relative to the elements (eV per atom) = 0.04

Cell: 3.4697 6.0847 17.6179 Å, 100.46 90.00 90.00°
With the nearest neighbours (Å) after each atom.
Atoms (fractional coordinates):
Tl  0.5000  0.6699  0.3344  6 Pb 3.46-3.84, 2 Tl 3.47, 4 Hg 3.51-3.54
Tl  0.5000  0.3301  0.6656  6 Pb 3.46-3.84, 2 Tl 3.47, 4 Hg 3.51-3.54
Hg  0.5000  0.5000  0.0000  10 Pb 3.38-3.50, 2 Hg 3.47
Hg  0.0000  0.1551  0.3114  5 Pb 3.19-3.35, 2 Hg 3.47, 4 Tl 3.51-3.54
Hg  0.0000  0.8449  0.6886  5 Pb 3.19-3.35, 2 Hg 3.47, 4 Tl 3.51-3.54
Pb  0.5000  0.7693  0.5342  2 Hg 3.19, 4 Pb 3.25-3.47, 1 Tl 3.46
Pb  0.5000  0.2307  0.4658  2 Hg 3.19, 4 Pb 3.25-3.47, 1 Tl 3.46
Pb  0.0000  0.7585  0.1612  3 Hg 3.24-3.45, 7 Pb 3.43-3.57
Pb  0.0000  0.0000  0.0000  8 Pb 3.43-3.47, 4 Hg 3.50
Pb  0.0000  0.2415  0.8388  3 Hg 3.24-3.45, 7 Pb 3.43-3.57
Pb  0.5000  0.7296  0.8390  3 Hg 3.35-3.38, 8 Pb 3.44-3.57, 1 Tl 3.54
Pb  0.5000  0.2704  0.1610  3 Hg 3.35-3.38, 8 Pb 3.44-3.57, 1 Tl 3.54

---

Entry 3:
A plane-wave DFT calculation with GGA-PBE was carried out for a geometry-optimized Dy4AgSe3 structure.

- formation energy from raw total energies (meV per atom) = -1359
- calculated density (g/cm³) = 8.39

Cell: 4.0157 7.1876 7.1876 Å, 108.39 90.00 90.00°
With the nearest neighbours (Å) after each atom.
Atoms (fractional coordinates):
Se  0.0000  0.0000  0.5000  6 Dy 2.91
Se  0.5000  0.5000  0.5000  6 Dy 2.90
Se  0.0000  0.5000  0.0000  6 Dy 2.91
Ag  0.5000  0.0000  0.0000  6 Dy 2.92-2.93
Dy  0.0000  0.2516  0.2516  4 Se 2.90-2.91, 2 Ag 2.92
Dy  0.5000  0.7485  0.2515  5 Se 2.90-2.91, 1 Ag 2.93
Dy  0.0000  0.7484  0.7484  4 Se 2.90-2.91, 2 Ag 2.92
Dy  0.5000  0.2515  0.7485  5 Se 2.90-2.91, 1 Ag 2.93

---

Entry 4:
A plane-wave DFT calculation with GGA-PBE was carried out for a geometry-optimized La2Pm5DyY structure.

- calculated density (g/cm³) = 6.59
- energy relative to the elements (eV per atom) = 0.13

Cell: 5.7334 10.5277 10.8774 Å, 90.00 90.00 105.80°
With the nearest neighbours (Å) after each atom.
Atoms (fractional coordinates):
La  0.8823  0.7645  0.8183  8 Pm 3.29-3.62
La  0.1137  0.2274  0.7333  1 Y 3.50, 7 Pm 3.50-3.73, 2 Dy 3.83
La  0.1177  0.2355  0.3183  8 Pm 3.29-3.62
La  0.8863  0.7726  0.2333  1 Y 3.50, 7 Pm 3.50-3.73, 2 Dy 3.83
Pm  0.3877  0.7753  0.0218  6 Pm 3.58-3.91, 4 La 3.62-3.68, 1 Y 3.77
Pm  0.7202  0.4404  0.8100  1 Dy 3.10, 1 La 3.29, 2 Pm 3.46
Pm  0.4813  0.9625  0.7424  2 Dy 3.27-3.37, 2 Pm 3.58, 2 La 3.59
Pm  0.2972  0.5943  0.7046  3 Pm 3.46-3.75, 1 Dy 3.48, 3 Y 3.57-3.84, 3 La 3.57-3.73
Pm  0.9840  0.9679  0.5211  2 Dy 3.30, 2 La 3.49-3.50
Pm  0.6123  0.2247  0.5218  6 Pm 3.58-3.91, 4 La 3.62-3.68, 1 Y 3.77
Pm  0.2798  0.5596  0.3100  1 Dy 3.10, 1 La 3.29, 2 Pm 3.46
Pm  0.5187  0.0375  0.2424  2 Dy 3.27-3.37, 2 Pm 3.58, 2 La 3.59
Pm  0.7028  0.4057  0.2046  3 Pm 3.46-3.75, 1 Dy 3.48, 3 Y 3.57-3.84, 3 La 3.57-3.73
Pm  0.0160  0.0321  0.0211  2 Dy 3.30, 2 La 3.49-3.50
Dy  0.5908  0.1816  0.9627  6 Pm 3.10-3.48
Dy  0.4092  0.8184  0.4627  6 Pm 3.10-3.48
Y  0.7981  0.5962  0.5097  2 La 3.50-3.77, 8 Pm 3.57-3.84, 2 Dy 3.68
Y  0.2019  0.4038  0.0097  2 La 3.50-3.77, 8 Pm 3.57-3.84, 2 Dy 3.68

---

Entry 5:
A plane-wave DFT calculation with GGA-PBE was carried out for a geometry-optimized LaAlGaRh structure.

- calculated density (g/cm³) = 6.56
- energy relative to the elements (eV per atom) = -0.71

Cell: 4.2602 4.2602 5.9830 Å, 69.14 69.14 60.00°
With the nearest neighbours (Å) after each atom.
Atoms (fractional coordinates):
La  0.8063  0.8063  0.5811  4 Ga 3.19-3.43, 4 Al 3.24-3.34
Al  0.6020  0.6020  0.1940  3 Rh 2.52, 3 Ga 2.79
Ga  0.0158  0.0158  0.9526  3 Rh 2.58, 3 Al 2.79
Rh  0.3018  0.3018  0.0947  3 Al 2.52, 3 Ga 2.58

---

Entry 6:
A plane-wave DFT calculation with GGA-PBE was carried out for a geometry-optimized ZnNiS3 structure.

- formation energy from raw total energies (meV per atom) = 424
- calculated density (g/cm³) = 4.18

Cell: 4.4386 4.4386 4.4386 Å, 90.00 90.00 90.00°
With the nearest neighbours (Å) after each atom.
Atoms (fractional coordinates):
Ni  0.0000  0.0000  0.0000  6 S 2.22
Zn  0.5000  0.5000  0.5000  12 S 3.14
S  0.0000  0.5000  0.0000  2 Ni 2.22
S  0.0000  0.0000  0.5000  2 Ni 2.22
S  0.5000  0.0000  0.0000  2 Ni 2.22